The following is a DFT calculation (GGA+U) of a relaxed structure of Na2Fe3F10.

The structure in POSCAR format:
```
Na2Fe3F10
1.0
-1.3820 0.8149 5.8948
4.9162 -5.5100 1.9143
4.7735 7.9913 -3.1513
F Fe Na
20 6 4
Direct
0.8702 0.2410 0.7404
0.6167 0.5250 0.7172
0.7897 0.5000 0.0000
0.9793 0.7991 0.9586
0.2103 0.5000 0.0000
0.4982 0.1880 0.9964
0.8836 0.0613 0.2362
0.5018 0.8120 0.0036
0.1298 0.7590 0.2596
0.3833 0.4750 0.2828
0.6474 0.9387 0.7638
0.3526 0.0613 0.2362
0.1005 0.5250 0.7172
0.5000 0.0000 0.5000
0.8995 0.4750 0.2828
0.0000 0.0000 0.5000
0.2454 0.2955 0.4909
0.7546 0.7045 0.5091
0.0207 0.2009 0.0414
0.1164 0.9387 0.7638
0.8140 0.9622 0.6279
0.1860 0.0378 0.3721
0.2600 0.0000 0.0000
0.7400 0.0000 0.0000
0.0802 0.4756 0.1604
0.9198 0.5244 0.8396
0.6975 0.3537 0.3950
0.4009 0.3309 0.8018
0.5991 0.6691 0.1982
0.3025 0.6463 0.6050
```

**Space group**: No. 12
**Spin magnetization**: 0.93 μB/atom
**Final energy**: -5.07 eV/atom
**Density**: 3.32 g cm⁻³